No. 1
## LuHgAu (PBE)

Data for a geometry-optimized LuHgAu structure.

POSCAR file:
```
LuHgAu
1.0
3.7702 0.0000 0.0000
0.0000 3.7702 0.0000
-1.8851 -1.8851 4.5981
Hg Au Lu
1 1 1
direct
0.6190 0.6190 0.2380
0.2864 0.2864 0.5727
0.9447 0.9447 0.8893
```

No. 2
## LuHgAu2 (PBE)

Data for a geometry-optimized LuHgAu2 structure.

POSCAR file:
```
LuHgAu2
1.0
-1.1060 3.6522 0.9472
-3.7608 1.0786 -0.3897
-2.9432 -0.5807 6.9624
Hg Au Lu
1 2 1
direct
0.0000 0.0000 0.0000
0.2475 0.2475 0.2576
0.7525 0.7525 0.7424
0.5000 0.5000 0.5000
```

No. 3
## LuHgAu (PBE)

Data for a geometry-optimized LuHgAu structure.

POSCAR file:
```
LuHgAu
1.0
-1.9757 2.6825 -0.1305
-3.6821 -2.6372 1.5359
2.8218 2.2316 3.1510
Hg Au Lu
1 1 1
direct
0.1661 0.3333 0.6667
0.1674 0.0000 0.0000
0.6665 0.6667 0.3333
```

No. 4
## LuHgAu (PBE)

Data for a geometry-optimized LuHgAu structure.

POSCAR file:
```
LuHgAu
1.0
-4.6923 -0.5001 0.4424
-1.8566 -1.3799 4.1368
-2.4731 3.0712 2.6297
Hg Lu Au
1 1 1
direct
0.5000 0.5000 0.5000
0.0000 0.0000 0.0000
0.2500 0.2500 0.2500
```

No. 5
## LuHgAu2 (PBE)

Data for a geometry-optimized LuHgAu2 structure.

POSCAR file:
```
LuHgAu2
1.0
-3.8254 -0.8010 1.3734
-0.9251 -2.1852 -3.8511
1.4691 -3.8629 1.8390
Lu Au Hg
1 2 1
direct
0.5000 0.5000 0.5000
0.0000 0.0000 0.5000
0.0000 0.5000 0.0000
0.5000 0.0000 0.0000
```

No. 6
## NaLuHgAu (PBE)

Data for a geometry-optimized NaLuHgAu structure.

POSCAR file:
```
NaLuHgAu
1.0
5.0135 0.0000 0.0000
2.5067 4.3418 0.0000
2.5067 1.4473 4.0935
Hg Au Na Lu
1 1 1 1
direct
0.7500 0.7500 0.7500
0.2500 0.2500 0.2500
0.0000 0.0000 0.0000
0.5000 0.5000 0.5000
```

No. 7
## NdLuHgAu (PBE)

Data for a geometry-optimized NdLuHgAu structure.

POSCAR file:
```
NdLuHgAu
1.0
5.2163 0.0000 0.0000
2.6081 4.5174 0.0000
2.6081 1.5058 4.2591
Nd Hg Au Lu
1 1 1 1
direct
0.2500 0.2500 0.2500
0.5000 0.5000 0.5000
0.0000 0.0000 0.0000
0.7500 0.7500 0.7500
```

No. 8
## LuNiHgAu (PBE)

Data for a geometry-optimized LuNiHgAu structure.

POSCAR file:
```
LuNiHgAu
1.0
4.7343 0.0000 0.0000
2.3671 4.1000 0.0000
2.3671 1.3667 3.8655
Hg Ni Au Lu
1 1 1 1
direct
0.5000 0.5000 0.5000
0.7500 0.7500 0.7500
0.2500 0.2500 0.2500
0.0000 0.0000 0.0000
```

No. 9
## LuPaHgAu (PBE)

Data for a geometry-optimized LuPaHgAu structure.

POSCAR file:
```
LuPaHgAu
1.0
5.1482 0.0000 0.0000
2.5741 4.4585 0.0000
2.5741 1.4862 4.2035
Hg Lu Pa Au
1 1 1 1
direct
0.5000 0.5000 0.5000
0.2500 0.2500 0.2500
0.7500 0.7500 0.7500
0.0000 0.0000 0.0000
```

No. 10
## PmLuHgAu (PBE)

Data for a geometry-optimized PmLuHgAu structure.

POSCAR file:
```
PmLuHgAu
1.0
-0.6579 1.0434 -5.0489
-4.7856 0.6742 -1.9122
-1.5589 4.7273 -1.4951
Hg Au Lu Pm
1 1 1 1
direct
0.5000 0.5000 0.5000
0.0000 0.0000 0.0000
0.7500 0.7500 0.7500
0.2500 0.2500 0.2500
```

No. 11
## PrLuHgAu (PBE)

Data for a geometry-optimized PrLuHgAu structure.

POSCAR file:
```
PrLuHgAu
1.0
5.2384 0.0000 0.0000
2.6192 4.5366 0.0000
2.6192 1.5122 4.2772
Au Pr Hg Lu
1 1 1 1
direct
0.0000 0.0000 0.0000
0.2500 0.2500 0.2500
0.5000 0.5000 0.5000
0.7500 0.7500 0.7500
```

No. 12
## LuHgPtAu (PBE)

Data for a geometry-optimized LuHgPtAu structure.

POSCAR file:
```
LuHgPtAu
1.0
4.8254 0.0000 0.0000
2.4127 4.1789 0.0000
2.4127 1.3930 3.9399
Au Pt Hg Lu
1 1 1 1
direct
0.2500 0.2500 0.2500
0.7500 0.7500 0.7500
0.5000 0.5000 0.5000
0.0000 0.0000 0.0000
```

| no. | N(E_F) (states/eV/f.u.) | calculated volume (Å³/atom) | energy of formation from the pure elements (eV/atom) |
| --- | --- | --- | --- |
| 1 | 0.93 | 21.787 | -0.594 |
| 2 | 0.75 | 24.210 | -0.475 |
| 3 | 1.39 | 22.013 | -0.535 |
| 4 | 2.43 | 25.095 | -0.494 |
| 5 | 1.91 | 21.192 | -0.464 |
| 6 | 4.02 | 22.276 | -0.409 |
| 7 | 4.25 | 25.091 | -0.618 |
| 8 | 2.17 | 18.758 | -0.360 |
| 9 | 7.55 | 24.121 | -0.238 |
| 10 | 4.38 | 24.819 | -0.630 |
| 11 | 4.09 | 25.411 | -0.607 |
| 12 | 1.76 | 19.862 | -0.657 |